An optimized crystal structure of NaGeAu3S4, computed with PBE.

Cell lengths 6.2336, 6.2336, 6.2336 Å; angles 90.00, 90.00, 90.00 degrees
Last column: nearest neighbours and their distance in Å.
Space group P-43m (No. 215)
One atom of each set of equivalent atoms:
Na1 0.0000 0.0000 0.0000  4 S 3.13
Ge1 0.5000 0.5000 0.5000  4 S 2.27
Au1 0.0000 0.5000 0.5000  4 S 2.59
S1 0.2897 0.2897 0.2897  1 Ge 2.27

Calculated values
* total DFT energy (no corrections): -32.60 eV for the cell shown
* distance to the lowest polymorph of the same formula: 159.3 meV/atom
* mass density: 5.6 g cm⁻³